# La2Tb6Sm3Th, optimized geometry, DFT PBE
# Density of states at the Fermi level ... 32.15 states/eV per cell
# ΔE_f ... 2 kJ/mol of atoms
data_La2Tb6Sm3Th
_chemical_formula_sum 'La4 Tb12 Sm6 Th2'
_cell_length_a 6.278
_cell_length_b 10.868
_cell_length_c 11.854
_cell_angle_alpha 90.00
_cell_angle_beta 100.15
_cell_angle_gamma 90.00
_space_group_name_H-M_alt 'C 1 2/m 1'
_space_group_IT_number 12
loop_
_space_group_symop_operation_xyz
'x,y,z'
'-x,-y,-z'
'-x,y,-z'
'x,-y,z'
'x+1/2,y+1/2,z'
'-x+1/2,-y+1/2,-z'
'-x+1/2,y+1/2,-z'
'x+1/2,-y+1/2,z'
loop_
_atom_site_label
_atom_site_type_symbol
_atom_site_fract_x
_atom_site_fract_y
_atom_site_fract_z
_atom_site_occupancy
La1 La 0.000 0.167 0.000 1
Tb1 Tb 0.245 0.500 0.750 1
Tb2 Tb 0.248 0.336 0.250 1
Sm1 Sm 0.000 0.000 0.500 1
Sm2 Sm 0.000 0.333 0.500 1
Th1 Th 0.000 0.500 0.000 1

# LiGaS2, optimized geometry, DFT PBE
# Density of states at the Fermi level ... 9.05 states/eV per cell
# Formation energy (no corrections) ... -0.319 eV per atom
data_LiGaS2
_chemical_formula_sum 'Li4 Ga4 S8'
_cell_length_a 6.269
_cell_length_b 6.269
_cell_length_c 6.524
_cell_angle_alpha 90.00
_cell_angle_beta 90.00
_cell_angle_gamma 90.00
_space_group_name_H-M_alt 'I 4/m c m'
_space_group_IT_number 140
_space_group_name_Hall '-I 4 2c'
loop_
_atom_site_label
_atom_site_type_symbol
_atom_site_fract_x
_atom_site_fract_y
_atom_site_fract_z
_atom_site_occupancy
Li1 Li 0.000 0.500 0.250 1
Ga1 Ga 0.000 0.000 0.250 1
S1 S 0.207 0.293 0.000 1

# ScTaIr2, optimized geometry, DFT PBE
# Density of states at the Fermi level ... 8.68 states/eV per cell
# ΔE_f ... -34 kJ/mol of atoms
data_ScTaIr2
_chemical_formula_sum 'Sc3 Ta3 Ir6'
_cell_length_a 2.9655
_cell_length_b 2.9655
_cell_length_c 26.3896
_cell_angle_alpha 90.00
_cell_angle_beta 90.00
_cell_angle_gamma 120.00
_space_group_name_H-M_alt 'R -3 m'
_space_group_IT_number 166
_space_group_name_Hall '-R 3 2"'
loop_
_atom_site_label
_atom_site_type_symbol
_atom_site_fract_x
_atom_site_fract_y
_atom_site_fract_z
_atom_site_occupancy
Sc1 Sc 0.0000 0.0000 0.0000 1
Ta1 Ta 0.0000 0.0000 0.5000 1
Ir1 Ir 0.0000 0.0000 0.2491 1

# Ba3RuW, optimized geometry, DFT PBE
# Density of states at the Fermi level ... 6.42 states/eV per cell
# ΔE_f ... 121 kJ/mol of atoms
# Energy relative to the lowest polymorph listed for this composition ... 0 meV per atom
data_Ba3RuW
_chemical_formula_sum 'Ba3 Ru1 W1'
_cell_length_a 5.831
_cell_length_b 5.831
_cell_length_c 5.831
_cell_angle_alpha 90.00
_cell_angle_beta 90.00
_cell_angle_gamma 90.00
_space_group_name_H-M_alt 'P m -3 m'
_space_group_IT_number 221
_space_group_name_Hall '-P 4 2 3'
loop_
_atom_site_label
_atom_site_type_symbol
_atom_site_fract_x
_atom_site_fract_y
_atom_site_fract_z
_atom_site_occupancy
Ba1 Ba 0.000 0.000 0.500 1
Ru1 Ru 0.000 0.000 0.000 1
W1 W 0.500 0.500 0.500 1

# Rb3SrU2Te6, optimized geometry, DFT PBE
# Density of states at the Fermi level ... 34.49 states/eV per cell
# Formation energy (no corrections) ... -1.048 eV per atom
data_Rb3SrU2Te6
_chemical_formula_sum 'Rb6 Sr2 U4 Te12'
_cell_length_a 8.069
_cell_length_b 13.975
_cell_length_c 8.962
_cell_angle_alpha 90.00
_cell_angle_beta 107.52
_cell_angle_gamma 90.00
_space_group_name_H-M_alt 'C 1 2/m 1'
_space_group_IT_number 12
loop_
_space_group_symop_operation_xyz
'x,y,z'
'-x,-y,-z'
'-x,y,-z'
'x,-y,z'
'x+1/2,y+1/2,z'
'-x+1/2,-y+1/2,-z'
'-x+1/2,y+1/2,-z'
'x+1/2,-y+1/2,z'
loop_
_atom_site_label
_atom_site_type_symbol
_atom_site_fract_x
_atom_site_fract_y
_atom_site_fract_z
_atom_site_occupancy
Rb1 Rb 0.000 0.000 0.000 1
Rb2 Rb 0.000 0.339 0.000 1
Sr1 Sr 0.000 0.500 0.500 1
U1 U 0.000 0.167 0.500 1
Te1 Te 0.214 0.000 0.702 1
Te2 Te 0.245 0.323 0.703 1

# Cd2InHg, optimized geometry, DFT PBE
# Density of states at the Fermi level ... 1.02 states/eV per cell
# ΔE_f ... 3 kJ/mol of atoms
# Energy relative to the lowest polymorph listed for this composition ... 17 meV per atom
data_Cd2InHg
_chemical_formula_sum 'Cd2 In1 Hg1'
_cell_length_a 3.391
_cell_length_b 5.086
_cell_length_c 6.019
_cell_angle_alpha 90.00
_cell_angle_beta 104.23
_cell_angle_gamma 90.00
_space_group_name_H-M_alt 'P 1 2/m 1'
_space_group_IT_number 10
loop_
_space_group_symop_operation_xyz
'x,y,z'
'-x,-y,-z'
'-x,y,-z'
'x,-y,z'
loop_
_atom_site_label
_atom_site_type_symbol
_atom_site_fract_x
_atom_site_fract_y
_atom_site_fract_z
_atom_site_occupancy
Cd1 Cd 0.066 0.000 0.257 1
In1 In 0.500 0.500 0.000 1
Hg1 Hg 0.500 0.500 0.500 1

# TlNiMo, optimized geometry, DFT PBE
# Density of states at the Fermi level ... 3.73 states/eV per cell
# ΔE_f ... 40 kJ/mol of atoms
# Energy relative to the lowest polymorph listed for this composition ... 0 meV per atom
data_TlNiMo
_chemical_formula_sum 'Tl2 Ni2 Mo2'
_cell_length_a 2.958
_cell_length_b 2.958
_cell_length_c 11.333
_cell_angle_alpha 90.00
_cell_angle_beta 90.00
_cell_angle_gamma 90.00
_space_group_name_H-M_alt 'I 4 m m'
_space_group_IT_number 107
_space_group_name_Hall 'I 4 -2'
loop_
_atom_site_label
_atom_site_type_symbol
_atom_site_fract_x
_atom_site_fract_y
_atom_site_fract_z
_atom_site_occupancy
Tl1 Tl 0.000 0.000 0.000 1
Ni1 Ni 0.000 0.000 0.672 1
Mo1 Mo 0.000 0.000 0.302 1

# TlRe7, optimized geometry, DFT PBE
# Density of states at the Fermi level ... 45.11 states/eV per cell
# ΔE_f ... 59 kJ/mol of atoms
data_TlRe7
_chemical_formula_sum 'Tl4 Re28'
_cell_length_a 7.946
_cell_length_b 7.946
_cell_length_c 7.946
_cell_angle_alpha 90.00
_cell_angle_beta 90.00
_cell_angle_gamma 90.00
_space_group_name_H-M_alt 'F m -3 m'
_space_group_IT_number 225
_space_group_name_Hall '-F 4 2 3'
loop_
_atom_site_label
_atom_site_type_symbol
_atom_site_fract_x
_atom_site_fract_y
_atom_site_fract_z
_atom_site_occupancy
Tl1 Tl 0.000 0.000 0.000 1
Re1 Re 0.000 0.000 0.500 1
Re2 Re 0.000 0.250 0.250 1

# Cu2PRu, optimized geometry, DFT PBE
# Density of states at the Fermi level ... 13.60 states/eV per cell
# ΔE_f ... 24 kJ/mol of atoms
data_Cu2PRu
_chemical_formula_sum 'Cu8 P4 Ru4'
_cell_length_a 3.442
_cell_length_b 3.442
_cell_length_c 18.333
_cell_angle_alpha 90.00
_cell_angle_beta 90.00
_cell_angle_gamma 90.00
_space_group_name_H-M_alt 'I -4 2 d'
_space_group_IT_number 122
_space_group_name_Hall 'I -4 2bw'
loop_
_atom_site_label
_atom_site_type_symbol
_atom_site_fract_x
_atom_site_fract_y
_atom_site_fract_z
_atom_site_occupancy
Cu1 Cu 0.244 0.250 0.125 1
P1 P 0.000 0.000 0.000 1
Ru1 Ru 0.000 0.000 0.500 1

# CeZrV, optimized geometry, DFT PBE
# Density of states at the Fermi level ... 10.04 states/eV per cell
# ΔE_f ... 25 kJ/mol of atoms
# Energy relative to the lowest polymorph listed for this composition ... 0 meV per atom
data_CeZrV
_chemical_formula_sum 'Ce2 Zr2 V2'
_cell_length_a 3.393
_cell_length_b 3.393
_cell_length_c 10.915
_cell_angle_alpha 90.00
_cell_angle_beta 90.00
_cell_angle_gamma 90.00
_space_group_name_H-M_alt 'I 4 m m'
_space_group_IT_number 107
_space_group_name_Hall 'I 4 -2'
loop_
_atom_site_label
_atom_site_type_symbol
_atom_site_fract_x
_atom_site_fract_y
_atom_site_fract_z
_atom_site_occupancy
Ce1 Ce 0.000 0.000 0.000 1
Zr1 Zr 0.000 0.000 0.305 1
V1 V 0.000 0.000 0.650 1

# Sr2SiHgPt, optimized geometry, DFT PBE
# Density of states at the Fermi level ... 3.51 states/eV per cell
# Formation energy (no corrections) ... -0.099 eV per atom
# Energy relative to the lowest polymorph listed for this composition ... 478 meV per atom
data_Sr2SiHgPt
_chemical_formula_sum 'Sr2 Si1 Hg1 Pt1'
_cell_length_a 5.740
_cell_length_b 5.740
_cell_length_c 5.184
_cell_angle_alpha 90.00
_cell_angle_beta 90.00
_cell_angle_gamma 90.00
_space_group_name_H-M_alt 'P 4/m m m'
_space_group_IT_number 123
_space_group_name_Hall '-P 4 2'
loop_
_atom_site_label
_atom_site_type_symbol
_atom_site_fract_x
_atom_site_fract_y
_atom_site_fract_z
_atom_site_occupancy
Sr1 Sr 0.000 0.500 0.000 1
Si1 Si 0.000 0.000 0.500 1
Hg1 Hg 0.500 0.500 0.500 1
Pt1 Pt 0.500 0.500 0.000 1

# LiPmNdRe, optimized geometry, DFT PBE
# Density of states at the Fermi level ... 10.07 states/eV per cell
# ΔE_f ... 16 kJ/mol of atoms
data_LiPmNdRe
_chemical_formula_sum 'Li4 Pm4 Nd4 Re4'
_cell_length_a 7.133
_cell_length_b 7.133
_cell_length_c 7.133
_cell_angle_alpha 90.00
_cell_angle_beta 90.00
_cell_angle_gamma 90.00
_space_group_name_H-M_alt 'F -4 3 m'
_space_group_IT_number 216
_space_group_name_Hall 'F -4 2 3'
loop_
_atom_site_label
_atom_site_type_symbol
_atom_site_fract_x
_atom_site_fract_y
_atom_site_fract_z
_atom_site_occupancy
Li1 Li 0.000 0.000 0.000 1
Pm1 Pm 0.250 0.250 0.750 1
Nd1 Nd 0.250 0.250 0.250 1
Re1 Re 0.000 0.000 0.500 1